Compound: GdY2Ho
Source: Alexandria
Functional: PBE-GGA
Structure: optimized geometry

Calculated values
The calculation puts the volume at 32.5 Å³ per atom. The calculation puts the density of states at the Fermi level at 8.525 states/eV/cell. Its space group is Fm-3m. The energy relative to the elements is 16.51 kJ per mole of atoms.

Geometry as POSCAR:
```
GdY2Ho
1.0
-2.024 -0.043 -5.315
2.225 -3.533 -3.861
-3.018 -4.448 -1.857
Gd Y Ho
1 2 1
Cartesian
-1.408 -4.012 -5.517
-2.112 -6.018 -8.275
-0.704 -2.006 -2.758
0.000 0.000 0.000
```